(1)
A plane-wave DFT calculation with GGA-PBE was carried out for SrHgAs2Br after structural relaxation.

Unit cell a=6.4430 b=6.4430 c=5.8757 alpha=90.00 beta=90.00 gamma=90.00
Last column: nearest neighbours and their distance in Å.
Fractional coordinates of all 5 atoms:
Sr 0.0000 0.0000 0.0000  2 Br 2.94, 4 As 3.22
Hg 0.5000 0.5000 0.5000  8 As 4.36, 4 Br 4.56
As 0.0000 0.5000 0.0000  2 Sr 3.22
As 0.5000 0.0000 0.0000  2 Sr 3.22
Br 0.0000 0.0000 0.5000  2 Sr 2.94

## Properties
Uncorrected formation energy: 230 meV/atom
Crystal system: tetragonal



(2)
A plane-wave DFT calculation with GGA-PBE was carried out for SbCCl2 after structural relaxation.

Unit cell a=6.4102 b=6.4102 c=6.4102 alpha=120.09 beta=120.09 gamma=89.84
Last column: nearest neighbours and their distance in Å.
Fractional coordinates of all 8 atoms:
Sb 0.3750 0.6250 0.7500  12 Cl 3.75-3.76, 4 Sb 3.92, 4 C 3.92
Sb 0.6250 0.3750 0.2500  12 Cl 3.75-3.76, 4 C 3.92, 4 Sb 3.92
C 0.1250 0.8750 0.2500  4 Cl 1.96
C 0.8750 0.1250 0.7500  4 Cl 1.96
Cl 0.0000 0.0000 0.0000  2 C 1.96
Cl 0.0000 0.0000 0.5000  2 C 1.96
Cl 0.0000 0.5000 0.0000  2 C 1.96
Cl 0.5000 0.0000 0.5000  2 C 1.96

## Properties
Uncorrected formation energy: 1289 meV/atom
Crystal system: tetragonal



(3)
A plane-wave DFT calculation with GGA-PBE was carried out for SrP3Rh3 after structural relaxation.

Unit cell a=6.7134 b=6.7134 c=11.2678 alpha=112.49 beta=112.49 gamma=34.19
Last column: nearest neighbours and their distance in Å.
Fractional coordinates of all 14 atoms:
Sr 0.1374 0.1374 0.2035  6 P 3.20-3.45, 6 Rh 3.43-3.54
Sr 0.8626 0.8626 0.7965  6 P 3.20-3.45, 6 Rh 3.43-3.54
P 0.1217 0.1217 0.6898  4 Rh 2.24-2.34
P 0.3853 0.3853 0.5760  4 Rh 2.28-2.35
P 0.3857 0.3857 0.0292  4 Rh 2.36
P 0.6143 0.6143 0.9708  4 Rh 2.36
P 0.6147 0.6147 0.4240  4 Rh 2.28-2.35
P 0.8783 0.8783 0.3102  4 Rh 2.24-2.34
Rh 0.1862 0.1862 0.9159  4 P 2.34-2.36
Rh 0.1926 0.1926 0.5377  4 P 2.24-2.35
Rh 0.4411 0.4411 0.2553  4 P 2.28-2.36
Rh 0.5589 0.5589 0.7447  4 P 2.28-2.36
Rh 0.8074 0.8074 0.4623  4 P 2.24-2.35
Rh 0.8138 0.8138 0.0841  4 P 2.34-2.36

## Properties
Electronic total energy: -6.55 eV per atom
Crystal system: monoclinic



(4)
A plane-wave DFT calculation with GGA-PBE was carried out for Mn2GeHN after structural relaxation.

Unit cell a=6.6465 b=6.6465 c=6.6465 alpha=26.92 beta=26.92 gamma=26.92
Last column: nearest neighbours and their distance in Å.
Fractional coordinates of all 5 atoms:
Mn 0.0000 0.0000 0.0000  3 N 1.83, 1 H 1.84
Mn 0.2144 0.2144 0.2144  3 H 1.84, 1 N 1.90
Ge 0.7731 0.7731 0.7731  1 H 2.52, 6 Mn 2.72-2.74
H 0.9043 0.9043 0.9043  4 Mn 1.84
N 0.3136 0.3136 0.3136  4 Mn 1.83-1.90

## Properties
Electronic total energy: -6.89 eV per atom
Crystal system: trigonal